A plane-wave DFT calculation with PBE with a Hubbard U was carried out for SrFeW2O8 after structural relaxation.

a b c (Å): 7.4498 7.4498 6.7973
angles (deg): 90.00 90.00 90.00
With the nearest neighbours (Å) after each atom.
Space group I-4m2 (No. 119)
Inequivalent atoms, fractional coordinates:
Sr: 0.0000 0.0000 0.0000 x2  4 O 2.40
Fe: 0.0000 0.5000 0.2500 x2  4 O 2.34
W: 0.0000 0.0000 0.5000 x2  4 O 1.83
W: 0.0000 0.5000 0.7500 x2  4 O 1.81
O: 0.0000 0.1976 0.3407 x8  1 W 1.83
O: 0.0000 0.3137 0.9202 x8  1 W 1.81

Properties
crystal system	tetragonal
E_tot	-7.121	eV per atom